[1]
SmV2Os | PBE-GGA | optimized geometry

Cell and atoms, written as CIF:
```
data_SmV2Os
_chemical_formula_sum 'Sm3 V6 Os3'
_cell_length_a 4.2030
_cell_length_b 4.2030
_cell_length_c 15.8460
_cell_angle_alpha 90.00
_cell_angle_beta 90.00
_cell_angle_gamma 120.00
_space_group_name_H-M_alt 'R -3 m'
_space_group_IT_number 166
_space_group_name_Hall '-R 3 2"'
loop_
_atom_site_label
_atom_site_type_symbol
_atom_site_fract_x
_atom_site_fract_y
_atom_site_fract_z
_atom_site_occupancy
Sm1 Sm 0.0000 0.0000 0.0000 1
V1 V 0.0000 0.0000 0.1999 1
Os1 Os 0.0000 0.0000 0.5000 1
```


[2]
YScAl2Cu | PBE-GGA | optimized geometry

Cell and atoms, written as CIF:
```
data_YScAl2Cu
_chemical_formula_sum 'Y1 Sc1 Al2 Cu1'
_cell_length_a 5.328
_cell_length_b 5.328
_cell_length_c 4.807
_cell_angle_alpha 90.00
_cell_angle_beta 90.00
_cell_angle_gamma 90.00
_space_group_name_H-M_alt 'P 4/m m m'
_space_group_IT_number 123
_space_group_name_Hall '-P 4 2'
loop_
_atom_site_label
_atom_site_type_symbol
_atom_site_fract_x
_atom_site_fract_y
_atom_site_fract_z
_atom_site_occupancy
Y1 Y 0.000 0.000 0.000 1
Sc1 Sc 0.500 0.500 0.500 1
Al1 Al 0.000 0.500 0.000 1
Cu1 Cu 0.000 0.000 0.500 1
```


no.,E_form (eV per formula unit),M_tot (μB per atom),DOS(E_F) (states/eV per atom)
1,0.6,0.03,1.35
2,4.7,0.00,1.31